# 1
Density functional theory data (PBE) for crystalline Ce3PrNd4Te8 at its relaxed geometry.

Unit cell a=8.9764 b=9.0238 c=8.9766 alpha=119.83 beta=120.00 gamma=90.00
Fractional coordinates of all 16 atoms:
Te  0.7485  0.7502  0.9994
Te  0.7491  0.2498  0.0006
Te  0.2515  0.2498  0.0006
Te  0.2509  0.7502  0.9994
Te  0.2502  0.2506  0.5004
Te  0.7498  0.7494  0.4996
Te  0.2509  0.7502  0.5017
Te  0.7491  0.2498  0.4983
Pr  0.0000  0.5000  0.0000
Nd  0.0000  0.0000  0.5000
Nd  0.0000  0.0000  0.0000
Nd  0.5000  0.0000  0.5000
Nd  0.5000  0.0000  0.0000
Ce  0.0000  0.5000  0.5000
Ce  0.5000  0.5000  0.5000
Ce  0.5000  0.5000  0.0000

SG ... No. 166
Size of the total moment ... 3.6 Bohr magnetons per cell
Formation energy without anion corrections ... -1.410 eV per atom

# 2
Density functional theory data (PBE) for crystalline Ce2PrIn2 at its relaxed geometry.

Unit cell a=5.3380 b=6.1930 c=9.5927 alpha=79.53 beta=90.00 gamma=64.47
Fractional coordinates of all 10 atoms:
Ce  0.5672  0.8656  0.8499
Ce  0.3837  0.2327  0.4222
Ce  0.6163  0.7673  0.5778
Ce  0.4328  0.1344  0.1501
Pr  0.2626  0.4749  0.7542
Pr  0.7374  0.5251  0.2458
In  0.0598  0.8803  0.3637
In  0.9402  0.1197  0.6363
In  0.8682  0.2636  0.9332
In  0.1318  0.7364  0.0668

Formation enthalpy at 0 K ... -0.273 eV/atom
SG ... No. 12
Size of the total moment ... 3.0 Bohr magnetons per cell
Relative energy among the computed polymorphs ... 0.000 eV per atom

# 3
Density functional theory data (PBE) for crystalline La2DyP2N6 at its relaxed geometry.

Unit cell a=5.6220 b=5.6220 c=6.7696 alpha=65.47 beta=65.47 gamma=60.00
Fractional coordinates of all 11 atoms:
N  0.7367  0.7367  0.2767
N  0.2633  0.7500  0.7233
N  0.2500  0.7367  0.2767
N  0.7500  0.2633  0.7233
N  0.7367  0.2500  0.2767
N  0.2633  0.2633  0.7233
P  0.4128  0.4128  0.7617
P  0.5872  0.5872  0.2383
Dy  0.0000  0.0000  0.0000
La  0.2090  0.2090  0.3731
La  0.7910  0.7910  0.6269

SG ... No. 166
Size of the total moment ... 1.0 Bohr magnetons per cell
Formation energy without anion corrections ... -1.032 eV per atom

# 4
Density functional theory data (PBE) for crystalline YAg2Os at its relaxed geometry.

Unit cell a=4.0981 b=4.0981 c=4.4630 alpha=90.00 beta=90.00 gamma=90.00
Fractional coordinates of all 4 atoms:
Os  0.5000  0.0000  0.5000
Ag  0.0000  0.0000  0.0000
Ag  0.5000  0.5000  0.0000
Y  0.0000  0.5000  0.5000

Formation enthalpy at 0 K ... 0.167 eV/atom
SG ... No. 123
Size of the total moment ... 0.2 Bohr magnetons per cell
Relative energy among the computed polymorphs ... 0.000 eV per atom

# 5
Density functional theory data (PBE) for crystalline Cs4CdAg3Br12 at its relaxed geometry.

Unit cell a=9.5599 b=9.5599 c=9.5599 alpha=109.47 beta=109.47 gamma=109.47
Fractional coordinates of all 20 atoms:
Br  0.2500  0.5000  0.7500
Br  0.7500  0.2500  0.5000
Br  0.2514  0.2514  0.0000
Br  0.7486  0.7486  0.0000
Br  0.7486  0.0000  0.7486
Br  0.0000  0.7486  0.7486
Br  0.5000  0.7500  0.2500
Br  0.0000  0.2514  0.2514
Br  0.2500  0.7500  0.5000
Br  0.2514  0.0000  0.2514
Br  0.7500  0.5000  0.2500
Br  0.5000  0.2500  0.7500
Cs  0.0000  0.0000  0.5000
Cs  0.0000  0.5000  0.0000
Cs  0.5000  0.5000  0.5000
Cs  0.5000  0.0000  0.0000
Ag  0.5000  0.0000  0.5000
Ag  0.5000  0.5000  0.0000
Ag  0.0000  0.5000  0.5000
Cd  0.0000  0.0000  0.0000

SG ... No. 229
Size of the total moment ... 0.0 Bohr magnetons per cell
Formation energy without anion corrections ... -0.973 eV per atom

# 6
Density functional theory data (PBE) for crystalline B2SBrO at its relaxed geometry.

Unit cell a=4.2496 b=5.0929 c=4.2496 alpha=90.00 beta=90.00 gamma=90.00
Fractional coordinates of all 5 atoms:
S  0.0000  0.5000  0.0000
Br  0.0000  0.0000  0.0000
B  0.0000  0.0000  0.5000
B  0.5000  0.0000  0.0000
O  0.5000  0.5000  0.5000

SG ... No. 123
Size of the total moment ... 0.0 Bohr magnetons per cell
Formation energy without anion corrections ... 2.625 eV per atom

Number 1: DFT total energy -5.58 eV/atom, DOS at the Fermi energy 1.667 states/eV/atom. Number 2: DFT total energy -4.70 eV/atom, DOS at the Fermi energy 1.885 states/eV/atom. Number 3: DFT total energy -7.87 eV/atom, DOS at the Fermi energy 0.197 states/eV/atom. Number 4: DFT total energy -5.68 eV/atom, DOS at the Fermi energy 0.911 states/eV/atom. Number 5: DFT total energy -2.62 eV/atom, DOS at the Fermi energy 0.222 states/eV/atom. Number 6: DFT total energy -2.20 eV/atom, DOS at the Fermi energy 1.123 states/eV/atom.